(1)
# LiBi3Pd (GGA-PBE, relaxed)
# Density of states at the Fermi level: 4.665 states/eV/cell
# Energy relative to the lowest polymorph listed for this composition: 1.93 eV per formula unit
# Formation energy: 0.68 eV per formula unit
data_LiBi3Pd
_space_group_name_H-M_alt 'P 1'
_space_group_IT_number 1
_space_group_name_Hall 'P 1'
_cell_length_a 5.4530
_cell_length_b 5.4530
_cell_length_c 5.4530
_cell_angle_alpha 90.00
_cell_angle_beta 90.00
_cell_angle_gamma 90.00
loop_
_atom_site_label
_atom_site_type_symbol
_atom_site_fract_x
_atom_site_fract_y
_atom_site_fract_z
Li1 Li 0.0000 0.0000 0.0000
Bi1 Bi 0.0000 0.5000 0.5000
Bi2 Bi 0.5000 0.0000 0.5000
Bi3 Bi 0.5000 0.5000 0.0000
Pd1 Pd 0.5000 0.5000 0.5000

***

(2)
# Li2Bi2Pd7 (GGA-PBE, relaxed)
# Density of states at the Fermi level: 3.993 states/eV/cell
# Energy relative to the lowest polymorph listed for this composition: 0.00 eV per formula unit
# Formation energy: -3.12 eV per formula unit
data_Li2Bi2Pd7
_space_group_name_H-M_alt 'P 1'
_space_group_IT_number 1
_space_group_name_Hall 'P 1'
_cell_length_a 7.1510
_cell_length_b 7.1510
_cell_length_c 7.1510
_cell_angle_alpha 143.58
_cell_angle_beta 73.10
_cell_angle_gamma 119.08
loop_
_atom_site_label
_atom_site_type_symbol
_atom_site_fract_x
_atom_site_fract_y
_atom_site_fract_z
Li1 Li 0.0000 0.0000 0.0000
Li2 Li 0.6924 0.1924 0.5000
Bi1 Bi 0.4212 0.2060 0.2152
Bi2 Bi 0.9909 0.2060 0.7848
Pd1 Pd 0.1269 0.4980 0.6289
Pd2 Pd 0.2705 0.9084 0.3620
Pd3 Pd 0.3867 0.3867 0.0000
Pd4 Pd 0.5464 0.9084 0.6380
Pd5 Pd 0.5789 0.7092 0.8696
Pd6 Pd 0.8396 0.7092 0.1304
Pd7 Pd 0.8692 0.4980 0.3711

***

(3)
# LiBi3Pd (GGA-PBE, relaxed)
# Density of states at the Fermi level: 4.165 states/eV/cell
# Energy relative to the lowest polymorph listed for this composition: 0.00 eV per formula unit
# Formation energy: -1.25 eV per formula unit
data_LiBi3Pd
_space_group_name_H-M_alt 'P 1'
_space_group_IT_number 1
_space_group_name_Hall 'P 1'
_cell_length_a 7.1587
_cell_length_b 4.4829
_cell_length_c 8.7402
_cell_angle_alpha 90.00
_cell_angle_beta 113.10
_cell_angle_gamma 90.00
loop_
_atom_site_label
_atom_site_type_symbol
_atom_site_fract_x
_atom_site_fract_y
_atom_site_fract_z
Li1 Li 0.1013 0.2500 0.2768
Li2 Li 0.8987 0.7500 0.7232
Bi1 Bi 0.1651 0.2500 0.9462
Bi2 Bi 0.1776 0.7500 0.5339
Bi3 Bi 0.4464 0.7500 0.2385
Bi4 Bi 0.5536 0.2500 0.7615
Bi5 Bi 0.8224 0.2500 0.4661
Bi6 Bi 0.8349 0.7500 0.0538
Pd1 Pd 0.3846 0.7500 0.8856
Pd2 Pd 0.6154 0.2500 0.1144

***

(4)
# LiBi2Pd2 (GGA-PBE, relaxed)
# Density of states at the Fermi level: 4.974 states/eV/cell
# Energy relative to the lowest polymorph listed for this composition: 0.60 eV per formula unit
# Formation energy: -1.30 eV per formula unit
data_LiBi2Pd2
_space_group_name_H-M_alt 'P 1'
_space_group_IT_number 1
_space_group_name_Hall 'P 1'
_cell_length_a 8.0144
_cell_length_b 8.0144
_cell_length_c 3.4558
_cell_angle_alpha 90.00
_cell_angle_beta 90.00
_cell_angle_gamma 90.00
loop_
_atom_site_label
_atom_site_type_symbol
_atom_site_fract_x
_atom_site_fract_y
_atom_site_fract_z
Li1 Li 0.0000 0.0000 0.0000
Li2 Li 0.5000 0.5000 0.0000
Bi1 Bi 0.1589 0.3411 0.0000
Bi2 Bi 0.3411 0.8411 0.0000
Bi3 Bi 0.6589 0.1589 0.0000
Bi4 Bi 0.8411 0.6589 0.0000
Pd1 Pd 0.1356 0.6356 0.5000
Pd2 Pd 0.3644 0.1356 0.5000
Pd3 Pd 0.6356 0.8644 0.5000
Pd4 Pd 0.8644 0.3644 0.5000

***

Q: Which final energy values were calculated for the entries above? A: -3.613; -4.641; -3.999; -4.273, in eV/atom.